# 1
GGA-PBE Dy2ThN3, relaxed; ΔE_f (raw) = -1.32 eV per atom; N(E_F) = 3.96 states/eV per cell
1.0
-2.6180 2.2816 -0.3148
2.2392 -1.0026 -6.5752
-5.5967 -6.1620 1.8822
Dy Th N
4 2 6
Direct
0.1732 0.3463 0.3390 Dy
0.8268 0.6537 0.6610 Dy
0.3268 0.6536 0.1612 Dy
0.6732 0.3464 0.8388 Dy
0.5000 0.0000 0.0000 Th
0.0000 0.0000 0.5000 Th
0.9705 0.9410 0.1955 N
0.0295 0.0590 0.8045 N
0.6947 0.3894 0.1380 N
0.3053 0.6106 0.8620 N
0.3588 0.7176 0.4736 N
0.6412 0.2824 0.5264 N

=====

# 2
GGA-PBE Co2Sb, relaxed; ΔE_f (raw) = 0.12 eV per atom; N(E_F) = 5.39 states/eV per cell
1.0
1.9735 4.0710 0.0455
-1.9735 4.0710 0.0455
0.0000 0.8841 5.2252
Co Sb
4 2
Direct
0.9507 0.9507 0.0202 Co
0.3159 0.3159 0.4012 Co
0.6714 0.6714 0.7177 Co
0.6290 0.6290 0.2368 Co
0.9929 0.9929 0.5119 Sb
0.2734 0.2734 0.9454 Sb

=====

# 3
GGA-PBE BaSnNO2, relaxed; ΔE_f (raw) = -1.20 eV per atom; N(E_F) = 1.83 states/eV per cell
1.0
-3.6193 0.3082 -2.1959
-2.1738 -1.3226 3.3972
-0.4367 4.0131 1.2830
N Ba O Sn
1 1 2 1
Direct
0.0000 0.0000 0.5000 N
0.5000 0.5000 0.5000 Ba
0.0000 0.5000 0.0000 O
0.5000 0.0000 0.0000 O
0.0000 0.0000 0.0000 Sn

=====

# 4
GGA-PBE TbPr2Pu3Se6, relaxed; ΔE_f (raw) = -1.69 eV per atom; N(E_F) = 27.54 states/eV per cell
1.0
4.1647 0.0000 0.0000
0.0000 8.3749 0.2714
-2.0823 -2.4313 8.7851
Tb Pr Pu Se
1 2 3 6
Direct
0.5000 0.0000 0.0000 Tb
0.8331 0.6651 0.6662 Pr
0.1669 0.3349 0.3338 Pr
0.5000 0.5000 0.0000 Pu
0.8315 0.1658 0.6631 Pu
0.1685 0.8342 0.3369 Pu
0.3352 0.9241 0.6704 Se
0.6641 0.5901 0.3281 Se
0.6648 0.0759 0.3296 Se
0.9970 0.2453 0.9940 Se
0.0030 0.7547 0.0060 Se
0.3359 0.4099 0.6719 Se

=====

# 5
GGA-PBE ZrTiMo2, relaxed; polymorph energy (0 for the lowest one) = 25 meV per atom; N(E_F) = 7.58 states/eV per cell; ΔH_f (0 K) = 48 meV/atom
1.0
-3.0908 -1.1359 0.2191
1.1576 -3.6374 -2.5268
1.1112 -2.2897 3.8051
Mo Zr Ti
2 1 1
Direct
0.0000 0.0000 0.5000 Mo
0.0000 0.5000 0.0000 Mo
0.5000 0.5000 0.5000 Zr
0.5000 0.0000 0.0000 Ti

=====

# 6
GGA-PBE AcTh2Al9, relaxed; N(E_F) = 6.79 states/eV per cell; ΔH_f (0 K) = -336 meV/atom
1.0
5.5142 0.0000 1.6411
2.5129 4.9084 1.6411
0.1649 0.1008 9.5306
Ac Th Al
1 2 9
Direct
0.0000 0.0000 0.0000 Ac
0.8580 0.8580 0.4260 Th
0.1420 0.1420 0.5740 Th
0.6642 0.6642 0.0075 Al
0.3358 0.3358 0.9925 Al
0.5000 0.5000 0.5000 Al
0.4121 0.4121 0.2517 Al
0.9240 0.4121 0.2517 Al
0.4121 0.9240 0.2517 Al
0.5879 0.5879 0.7483 Al
0.5879 0.0760 0.7483 Al
0.0760 0.5879 0.7483 Al

=====

# 7
GGA-PBE Sc4Ni2N, relaxed; ΔE_f (raw) = -0.64 eV per atom; N(E_F) = 7.12 states/eV per cell
1.0
4.2903 0.0000 0.0000
0.0000 4.2903 0.0000
-2.1451 -2.1451 6.5021
Sc Ni N
4 2 1
Direct
0.8224 0.8224 0.6448 Sc
0.1776 0.1776 0.3552 Sc
0.0000 0.5000 0.0000 Sc
0.5000 0.0000 0.0000 Sc
0.6311 0.6311 0.2622 Ni
0.3689 0.3689 0.7378 Ni
0.0000 0.0000 0.0000 N

=====

# 8
GGA-PBE ScGa2Pd4, relaxed; N(E_F) = 3.64 states/eV per cell; ΔH_f (0 K) = 116 meV/atom
1.0
-2.9045 1.4121 -3.5907
-2.7756 -3.8865 0.7168
-6.3116 1.9944 2.6420
Sc Ga Pd
1 2 4
Direct
0.0000 0.0000 0.0000 Sc
0.3930 0.3930 0.2140 Ga
0.6070 0.6070 0.7860 Ga
0.1972 0.1972 0.6057 Pd
0.8028 0.8028 0.3943 Pd
0.0000 0.5000 0.0000 Pd
0.5000 0.0000 0.0000 Pd

=====

# 9
GGA-PBE ScZnFeNi, relaxed; N(E_F) = 8.56 states/eV per cell; ΔH_f (0 K) = -120 meV/atom
1.0
-3.1886 -2.6446 -1.0994
0.1348 -2.0783 -3.7460
0.6586 -4.2344 -0.0790
Sc Ni Zn Fe
1 1 1 1
Direct
0.7500 0.7500 0.7500 Sc
0.0000 0.0000 0.0000 Ni
0.2500 0.2500 0.2500 Zn
0.5000 0.5000 0.5000 Fe

=====

# 10
GGA-PBE Pm3ThPb2, relaxed; polymorph energy (0 for the lowest one) = 0 meV per atom; N(E_F) = 5.30 states/eV per cell; ΔH_f (0 K) = -381 meV/atom
1.0
-0.0544 -2.9854 -3.5832
3.4745 -2.4164 1.9606
-5.9404 -5.0526 4.3000
Pm Th Pb
3 1 2
Direct
0.5000 0.0000 0.3472 Pm
0.0000 0.5000 0.6528 Pm
0.0000 0.0000 0.0000 Pm
0.5000 0.5000 0.0000 Th
0.5000 0.0000 0.7153 Pb
0.0000 0.5000 0.2847 Pb

=====

# 11
GGA-PBE In12Se5Br3, relaxed; ΔE_f (raw) = -0.24 eV per atom; N(E_F) = 15.67 states/eV per cell
1.0
15.7852 0.0000 0.0000
-5.2617 14.8824 0.0000
-5.2617 -7.4412 12.8885
Br Se In
12 20 48
Direct
0.7500 0.3750 0.1250 Br
0.8750 0.7500 0.1250 Br
0.3750 0.7500 0.6250 Br
0.2500 0.1250 0.3750 Br
0.8750 0.1250 0.2500 Br
0.3750 0.6250 0.2500 Br
0.6250 0.3750 0.7500 Br
0.1250 0.8750 0.7500 Br
0.7500 0.8750 0.6250 Br
0.6250 0.2500 0.3750 Br
0.1250 0.2500 0.8750 Br
0.2500 0.6250 0.8750 Br
0.1250 0.3750 0.2500 Se
0.0000 0.5000 0.0000 Se
0.0000 0.0000 0.0000 Se
0.3750 0.2500 0.1250 Se
0.5000 0.0000 0.5000 Se
0.5000 0.5000 0.0000 Se
0.1250 0.7500 0.3750 Se
0.7500 0.1250 0.8750 Se
0.7500 0.6250 0.3750 Se
0.3750 0.1250 0.7500 Se
0.6250 0.8750 0.2500 Se
0.5000 0.5000 0.5000 Se
0.5000 0.0000 0.0000 Se
0.0000 0.0000 0.5000 Se
0.2500 0.3750 0.6250 Se
0.2500 0.8750 0.1250 Se
0.0000 0.5000 0.5000 Se
0.8750 0.2500 0.6250 Se
0.6250 0.7500 0.8750 Se
0.8750 0.6250 0.7500 Se
0.7233 0.1422 0.0524 In
0.3291 0.5524 0.4102 In
0.9476 0.3578 0.2767 In
0.5524 0.2233 0.1422 In
0.5811 0.7233 0.6709 In
0.9476 0.5898 0.1709 In
0.3291 0.7767 0.4189 In
0.0898 0.9189 0.1422 In
0.5898 0.9476 0.6709 In
0.7233 0.5811 0.1709 In
0.7767 0.4476 0.3578 In
0.8291 0.9102 0.0524 In
0.1422 0.7233 0.5524 In
0.3578 0.4102 0.0811 In
0.0811 0.9102 0.3578 In
0.4189 0.1422 0.5898 In
0.0811 0.1709 0.2233 In
0.4476 0.6709 0.0898 In
0.8291 0.9189 0.2767 In
0.1422 0.4189 0.0898 In
0.3578 0.9476 0.7767 In
0.5898 0.6422 0.4189 In
0.9102 0.8291 0.5524 In
0.7767 0.3291 0.9189 In
0.4102 0.3578 0.5811 In
0.0898 0.1709 0.4476 In
0.2233 0.6709 0.0811 In
0.1709 0.0811 0.7233 In
0.6422 0.0524 0.2233 In
0.8578 0.5811 0.9102 In
0.5524 0.3291 0.9102 In
0.5811 0.8578 0.4102 In
0.9189 0.8291 0.7767 In
0.9189 0.0898 0.6422 In
0.8578 0.2767 0.4476 In
0.1709 0.0898 0.9476 In
0.6422 0.5898 0.9189 In
0.4102 0.0524 0.3291 In
0.2767 0.4189 0.8291 In
0.2233 0.5524 0.6422 In
0.9102 0.0811 0.8578 In
0.6709 0.2233 0.5811 In
0.4476 0.7767 0.8578 In
0.0524 0.4102 0.8291 In
0.4189 0.2767 0.3291 In
0.0524 0.6422 0.7233 In
0.6709 0.4476 0.5898 In
0.2767 0.8578 0.9476 In

=====

# 12
GGA-PBE La2YCo, relaxed; polymorph energy (0 for the lowest one) = 504 meV per atom; N(E_F) = 5.77 states/eV per cell; ΔH_f (0 K) = 401 meV/atom
1.0
5.7755 -0.0107 -0.0317
-2.5550 5.5628 0.0066
0.6654 1.1318 3.3522
Co La Y
1 2 1
Direct
0.5000 0.5000 0.0000 Co
0.0000 0.0000 0.0000 La
0.5000 0.0000 0.5000 La
0.0000 0.5000 0.5000 Y

=====

Question: N(E_F) of number 2 (Co2Sb)?
Answer: 5.39 states/eV per cell